This record from OQMD via LeMat-Bulk describes Ho3AlS6 after structural relaxation. The functional is GGA-PBE.

Lattice parameters (Å, degrees): 8.494 8.494 6.419 90.00 90.00 102.43
Atoms (fractional coordinates):
Ho 0.902 0.098 0.106
Ho 0.098 0.902 0.606
Ho 0.584 0.785 0.517
Ho 0.416 0.215 0.017
Ho 0.785 0.584 0.017
Ho 0.215 0.416 0.517
S 0.932 0.398 0.303
S 0.602 0.068 0.303
S 0.541 0.459 0.338
S 0.459 0.541 0.838
S 0.192 0.134 0.312
S 0.283 0.717 0.328
S 0.808 0.866 0.812
S 0.068 0.602 0.803
S 0.134 0.192 0.812
S 0.866 0.808 0.312
S 0.398 0.932 0.803
S 0.717 0.283 0.828
Al 0.701 0.299 0.477
Al 0.299 0.701 0.977

Volume: 22.6 Å³ per atom
Crystal system: orthorhombic
Symmetry: No. 36
Uncorrected energy: -6.06 eV per atom

This record from OQMD via LeMat-Bulk describes HoAlSb after structural relaxation. The functional is GGA-PBE.

Lattice parameters (Å, degrees): 4.883 4.883 4.883 60.00 60.00 60.00
Atoms (fractional coordinates):
Ho 0.250 0.250 0.250
Sb 0.750 0.750 0.750
Al 0.000 0.000 0.000

Volume: 27.4 Å³ per atom
Crystal system: cubic
Symmetry: No. 216
Uncorrected energy: -4.24 eV per atom

This record from OQMD via LeMat-Bulk describes HoAlSb after structural relaxation. The functional is GGA-PBE.

Lattice parameters (Å, degrees): 4.989 4.989 4.989 60.00 60.00 60.00
Atoms (fractional coordinates):
Ho 0.250 0.250 0.250
Al 0.500 0.500 0.500
Sb 0.000 0.000 0.000

Volume: 29.3 Å³ per atom
Crystal system: cubic
Symmetry: No. 216
Uncorrected energy: -4.24 eV per atom

This record from OQMD via LeMat-Bulk describes HoScAl after structural relaxation. The functional is GGA-PBE.

Lattice parameters (Å, degrees): 4.878 4.878 4.878 60.00 60.00 60.00
Atoms (fractional coordinates):
Al 0.250 0.250 0.250
Sc 0.000 0.000 0.000
Ho 0.750 0.750 0.750

Volume: 27.4 Å³ per atom
Crystal system: cubic
Symmetry: No. 216
Energy relative to the lowest polymorph listed for this composition: 0.0 kJ per mole of atoms

This record from OQMD via LeMat-Bulk describes HoScAl after structural relaxation. The functional is GGA-PBE.

Lattice parameters (Å, degrees): 4.915 4.915 4.915 60.00 60.00 60.00
Atoms (fractional coordinates):
Ho 0.000 0.000 0.000
Al 0.250 0.250 0.250
Sc 0.750 0.750 0.750

Volume: 28.0 Å³ per atom
Crystal system: cubic
Symmetry: No. 216
Energy relative to the lowest polymorph listed for this composition: 11.9 kJ per mole of atoms

This record from OQMD via LeMat-Bulk describes HoScAl3Si2 after structural relaxation. The functional is GGA-PBE.

Lattice parameters (Å, degrees): 5.344 5.344 6.502 99.31 99.31 43.73
Atoms (fractional coordinates):
Al 0.303 0.303 0.638
Al 0.004 0.004 0.505
Al 0.695 0.695 0.370
Ho 0.381 0.381 0.177
Si 0.905 0.905 0.858
Si 0.095 0.095 0.133
Sc 0.618 0.618 0.820

Volume: 18.1 Å³ per atom
Crystal system: monoclinic
Symmetry: No. 8
Uncorrected energy: -5.24 eV per atom

This record from OQMD via LeMat-Bulk describes HoTmAlSi2 after structural relaxation. The functional is GGA-PBE.

Lattice parameters (Å, degrees): 5.546 5.546 5.546 137.15 118.23 78.10
Atoms (fractional coordinates):
Si 0.711 0.500 0.211
Si 0.289 0.500 0.789
Ho 0.711 0.211 0.500
Al 0.000 0.000 0.000
Tm 0.289 0.789 0.500

Volume: 19.9 Å³ per atom
Crystal system: orthorhombic
Symmetry: No. 44
Uncorrected energy: -5.44 eV per atom

This record from OQMD via LeMat-Bulk describes SmHoAl2 after structural relaxation. The functional is GGA-PBE.

Lattice parameters (Å, degrees): 4.173 6.046 6.046 43.32 90.00 90.00
Atoms (fractional coordinates):
Al 0.000 0.072 0.072
Al 0.500 0.926 0.926
Sm 0.500 0.641 0.641
Ho 0.000 0.361 0.361

Volume: 26.2 Å³ per atom
Crystal system: orthorhombic
Symmetry: No. 38
Uncorrected energy: -4.56 eV per atom

This record from OQMD via LeMat-Bulk describes SmHoAl4 after structural relaxation. The functional is GGA-PBE.

Lattice parameters (Å, degrees): 9.954 9.954 6.610 90.00 90.00 156.06
Atoms (fractional coordinates):
Al 0.927 0.073 0.750
Al 0.500 0.500 0.500
Al 0.643 0.357 0.451
Al 0.357 0.643 0.549
Al 0.073 0.927 0.250
Al 0.357 0.643 0.951
Al 0.500 0.500 0.000
Al 0.643 0.357 0.049
Sm 0.088 0.912 0.750
Sm 0.912 0.088 0.250
Ho 0.236 0.764 0.250
Ho 0.764 0.236 0.750

Volume: 22.1 Å³ per atom
Crystal system: orthorhombic
Symmetry: No. 63
Uncorrected energy: -4.45 eV per atom

This record from OQMD via LeMat-Bulk describes Ho2AlSn after structural relaxation. The functional is GGA-PBE.

Lattice parameters (Å, degrees): 4.168 6.008 6.008 43.66 90.00 90.00
Atoms (fractional coordinates):
Al 0.000 0.084 0.084
Sn 0.500 0.920 0.920
Ho 0.500 0.637 0.637
Ho 0.000 0.359 0.359

Volume: 26.0 Å³ per atom
Crystal system: orthorhombic
Symmetry: No. 38
Uncorrected energy: -4.81 eV per atom

This record from OQMD via LeMat-Bulk describes SrHoAl after structural relaxation. The functional is GGA-PBE.

Lattice parameters (Å, degrees): 5.314 5.314 5.314 60.00 60.00 60.00
Atoms (fractional coordinates):
Al 0.000 0.000 0.000
Ho 0.250 0.250 0.250
Sr 0.750 0.750 0.750

Volume: 35.4 Å³ per atom
Crystal system: cubic
Symmetry: No. 216
Uncorrected energy: -3.22 eV per atom

This record from OQMD via LeMat-Bulk describes SrHoAl after structural relaxation. The functional is GGA-PBE.

Lattice parameters (Å, degrees): 4.713 4.713 8.469 90.00 90.00 90.00
Atoms (fractional coordinates):
Al 0.000 0.500 0.277
Al 0.500 0.000 0.723
Sr 0.000 0.000 0.000
Sr 0.500 0.500 0.000
Ho 0.000 0.500 0.623
Ho 0.500 0.000 0.377

Volume: 31.4 Å³ per atom
Crystal system: tetragonal
Symmetry: No. 129
Uncorrected energy: -3.22 eV per atom

We obtain total magnetic moment values of 0.00 0.00 0.01 0.04 0.03 0.00 0.00 0.06 0.00 0.01 0.00 0.12 μB/f.u. for the records listed above, in that order.